1.
# NaDy5Te6

NaDy5Te6 after structural relaxation (GGA-PBE, the Alexandria database).

The structure in POSCAR format:
```
NaDy5Te6
1.0
3.778 -6.543 0.000
3.778 6.543 0.000
-2.527 0.000 7.174
Na Dy Te
1 5 6
direct
0.000 0.000 0.000
0.163 0.837 0.500
0.335 0.665 0.000
0.500 0.500 0.500
0.665 0.335 0.000
0.837 0.163 0.500
0.083 0.418 0.252
0.250 0.250 0.754
0.418 0.083 0.252
0.582 0.917 0.748
0.750 0.750 0.246
0.917 0.582 0.748
```

Summary:
As for the formation energy without anion corrections: -125.0 kJ/mol of atoms. The total moment comes out at 0.00 μB per atom.

***

2.
# Na3Dy2ThTe6

Na3Dy2ThTe6 after structural relaxation (GGA-PBE, the Alexandria database).

The structure in POSCAR format:
```
Na3Dy2ThTe6
1.0
3.822 -6.620 0.000
3.822 6.620 0.000
-2.549 0.000 7.646
Na Dy Th Te
3 2 1 6
direct
0.000 0.000 0.000
0.335 0.665 0.000
0.665 0.335 0.000
0.167 0.833 0.500
0.833 0.167 0.500
0.500 0.500 0.500
0.083 0.421 0.263
0.241 0.241 0.737
0.421 0.083 0.263
0.579 0.917 0.737
0.759 0.759 0.263
0.917 0.579 0.737
```

Summary:
As for the formation energy without anion corrections: -119.4 kJ/mol of atoms. The total moment comes out at 0.00 μB per atom.

***

3.
# Na3DyTh2Te6

Na3DyTh2Te6 after structural relaxation (GGA-PBE, the Alexandria database).

The structure in POSCAR format:
```
Na3DyTh2Te6
1.0
3.809 -6.598 0.000
3.809 6.598 0.000
-2.540 0.000 7.760
Na Dy Th Te
3 1 2 6
direct
0.000 0.000 0.000
0.331 0.669 0.000
0.669 0.331 0.000
0.500 0.500 0.500
0.166 0.834 0.500
0.834 0.166 0.500
0.092 0.420 0.259
0.253 0.253 0.742
0.420 0.092 0.259
0.580 0.908 0.741
0.747 0.747 0.258
0.908 0.580 0.741
```

Summary:
As for the formation energy without anion corrections: -112.1 kJ/mol of atoms. The total moment comes out at 0.00 μB per atom.

***

4.
# NaDyTh2Te4

NaDyTh2Te4 after structural relaxation (GGA-PBE, the Alexandria database).

The structure in POSCAR format:
```
NaDyTh2Te4
1.0
7.380 0.000 0.000
0.000 4.228 0.000
-2.383 0.000 7.880
Na Dy Th Te
1 1 2 4
direct
0.000 0.000 0.000
0.500 0.500 0.000
0.000 0.500 0.500
0.500 0.000 0.500
0.248 0.500 0.239
0.253 0.000 0.764
0.747 0.000 0.236
0.752 0.500 0.761
```

Summary:
As for the formation energy without anion corrections: -108.4 kJ/mol of atoms. The total moment comes out at 0.00 μB per atom.

***

5.
# Na4Dy3ThTe8

Na4Dy3ThTe8 after structural relaxation (GGA-PBE, the Alexandria database).

The structure in POSCAR format:
```
Na4Dy3ThTe8
1.0
4.419 2.551 7.618
-4.419 2.551 7.618
0.000 -5.103 7.618
Na Dy Th Te
4 3 1 8
direct
0.000 0.000 0.000
0.000 0.500 0.500
0.500 0.000 0.500
0.500 0.500 0.000
0.000 0.000 0.500
0.000 0.500 0.000
0.500 0.000 0.000
0.500 0.500 0.500
0.241 0.748 0.748
0.244 0.244 0.244
0.252 0.252 0.759
0.252 0.759 0.252
0.748 0.241 0.748
0.748 0.748 0.241
0.756 0.756 0.756
0.759 0.252 0.252
```

Summary:
As for the formation energy without anion corrections: -121.2 kJ/mol of atoms. The total moment comes out at 0.00 μB per atom.

***

6.
# Na2DyTiTe4

Na2DyTiTe4 after structural relaxation (GGA-PBE, the Alexandria database).

The structure in POSCAR format:
```
Na2DyTiTe4
1.0
7.383 0.000 0.000
0.000 4.237 0.000
-2.445 0.000 7.595
Na Dy Ti Te
2 1 1 4
direct
0.000 0.000 0.000
0.500 0.500 0.000
0.000 0.500 0.500
0.500 0.000 0.500
0.260 0.000 0.728
0.278 0.500 0.284
0.722 0.500 0.716
0.740 0.000 0.272
```

Summary:
As for the formation energy without anion corrections: -97.8 kJ/mol of atoms. The total moment comes out at 0.13 μB per atom.

***

7.
# Na3DyTi2Te6

Na3DyTi2Te6 after structural relaxation (GGA-PBE, the Alexandria database).

The structure in POSCAR format:
```
Na3DyTi2Te6
1.0
3.604 -6.288 0.000
3.604 6.288 0.000
-2.451 0.000 7.599
Na Dy Ti Te
3 1 2 6
direct
0.000 0.000 0.000
0.345 0.655 0.000
0.655 0.345 0.000
0.500 0.500 0.500
0.175 0.825 0.500
0.825 0.175 0.500
0.072 0.424 0.278
0.214 0.214 0.712
0.424 0.072 0.278
0.576 0.928 0.722
0.786 0.786 0.288
0.928 0.576 0.722
```

Summary:
As for the formation energy without anion corrections: -90.3 kJ/mol of atoms. The total moment comes out at 0.17 μB per atom.

***

8.
# Na3DyTm2Te6

Na3DyTm2Te6 after structural relaxation (GGA-PBE, the Alexandria database).

The structure in POSCAR format:
```
Na3DyTm2Te6
1.0
3.809 -6.597 0.000
3.809 6.597 0.000
-2.540 0.000 7.565
Na Dy Tm Te
3 1 2 6
direct
0.000 0.000 0.000
0.334 0.666 0.000
0.666 0.334 0.000
0.500 0.500 0.500
0.167 0.833 0.500
0.833 0.167 0.500
0.087 0.423 0.270
0.240 0.240 0.730
0.423 0.087 0.270
0.577 0.913 0.730
0.760 0.760 0.270
0.913 0.577 0.730
```

Summary:
As for the formation energy without anion corrections: -125.6 kJ/mol of atoms. The total moment comes out at 0.00 μB per atom.

***

9.
# NaDy2TmTe4

NaDy2TmTe4 after structural relaxation (GGA-PBE, the Alexandria database).

The structure in POSCAR format:
```
NaDy2TmTe4
1.0
7.586 0.000 0.000
0.000 4.329 0.000
-2.453 0.000 7.197
Na Dy Tm Te
1 2 1 4
direct
0.000 0.000 0.000
0.000 0.500 0.500
0.500 0.000 0.500
0.500 0.500 0.000
0.253 0.000 0.753
0.254 0.500 0.251
0.746 0.500 0.749
0.747 0.000 0.247
```

Summary:
As for the formation energy without anion corrections: -123.1 kJ/mol of atoms. The total moment comes out at 0.00 μB per atom.

***

10.
# Na3Dy3TmTe8

Na3Dy3TmTe8 after structural relaxation (GGA-PBE, the Alexandria database).

The structure in POSCAR format:
```
Na3Dy3TmTe8
1.0
4.352 2.513 7.704
-4.352 2.513 7.704
0.000 -5.025 7.704
Na Dy Tm Te
3 3 1 8
direct
0.000 0.500 0.500
0.500 0.000 0.500
0.500 0.500 0.000
0.000 0.000 0.500
0.000 0.500 0.000
0.500 0.000 0.000
0.500 0.500 0.500
0.244 0.244 0.244
0.244 0.743 0.743
0.257 0.257 0.756
0.257 0.756 0.257
0.743 0.244 0.743
0.743 0.743 0.244
0.756 0.257 0.257
0.756 0.756 0.756
```

Summary:
As for the formation energy without anion corrections: -120.3 kJ/mol of atoms. The total moment comes out at 0.00 μB per atom.

***

11.
# Na2DyTmTe4

Na2DyTmTe4 after structural relaxation (GGA-PBE, the Alexandria database).

The structure in POSCAR format:
```
Na2DyTmTe4
1.0
7.626 0.000 0.000
0.000 4.406 0.000
-2.547 0.000 7.571
Na Dy Tm Te
2 1 1 4
direct
0.000 0.000 0.000
0.500 0.500 0.000
0.000 0.500 0.500
0.500 0.000 0.500
0.246 0.000 0.731
0.259 0.500 0.270
0.741 0.500 0.730
0.754 0.000 0.269
```

Summary:
As for the formation energy without anion corrections: -125.9 kJ/mol of atoms. The total moment comes out at 0.00 μB per atom.